ScPaIr (GGA-PBE, relaxed); space group = F-43m; energy relative to the lowest polymorph listed for this composition = 152 meV/atom
1.0
-2.931 3.634 -0.018
-3.476 0.211 3.109
0.147 3.135 3.457
Pa Ir Sc
1 1 1
direct
0.500 0.500 0.500
0.250 0.250 0.250
0.000 0.000 0.000

Sc2PaIr (GGA-PBE, relaxed); space group = P4/mmm
1.0
3.179 0.000 0.000
0.000 3.179 0.000
0.000 0.000 8.224
Sc Pa Ir
2 1 1
direct
0.000 0.000 0.199
0.000 0.000 0.801
0.500 0.500 0.500
0.500 0.500 0.000

ScPaIr (GGA-PBE, relaxed); space group = I4mm; energy relative to the lowest polymorph listed for this composition = 48 meV/atom
1.0
3.533 0.000 0.000
0.000 3.533 0.000
-1.766 -1.766 5.058
Pa Sc Ir
1 1 1
direct
0.022 0.022 0.045
0.325 0.325 0.651
0.652 0.652 0.305

ScPaIr (GGA-PBE, relaxed); space group = P2_1/m; energy relative to the lowest polymorph listed for this composition = 0 meV/atom
1.0
-5.012 2.012 -0.950
-3.436 -0.290 6.075
0.348 6.863 1.259
Ir Pa Sc
4 4 4
direct
0.980 0.528 0.278
0.020 0.472 0.722
0.980 0.029 0.779
0.020 0.971 0.221
0.299 0.158 0.409
0.701 0.341 0.092
0.701 0.842 0.591
0.299 0.659 0.908
0.685 0.329 0.579
0.315 0.172 0.922
0.685 0.828 0.078
0.315 0.671 0.421

| no. | formation enthalpy at 0 K (eV per atom) |
| --- | --- |
| 1 | -0.41 |
| 2 | -0.44 |
| 3 | -0.51 |
| 4 | -0.56 |